[1]
VASP calculation (PBE) on a geometry-optimized LiAcTb2 structure.

Unit cell a=3.7996 b=3.7996 c=8.7781 alpha=90.00 beta=90.00 gamma=90.00
Last column: nearest neighbours and their distance in Å.
Space group P4/mmm (No. 123)
Inequivalent atoms, fractional coordinates:
Li 0.0000 0.0000 0.0000 (multiplicity 1)  8 Tb 3.24
Ac 0.0000 0.0000 0.5000 (multiplicity 1)  8 Tb 3.72, 4 Ac 3.80
Tb 0.5000 0.5000 0.2068 (multiplicity 2)  4 Li 3.24, 1 Tb 3.63

- ΔH_f (0 K): 0.100 eV/atom
- Distance to the lowest polymorph of the same formula: 0 meV per atom
- Calculated volume: 126.7 Å³/cell
- DOS(E_F): 5.65 states/eV per cell

[2]
VASP calculation (PBE) on a geometry-optimized CaSCl structure.

Unit cell a=7.3060 b=5.1595 c=7.7066 alpha=90.00 beta=93.61 gamma=90.00
Last column: nearest neighbours and their distance in Å.
Space group C2/m (No. 12)
Inequivalent atoms, fractional coordinates:
Ca 0.2112 0.0000 0.2573 (multiplicity 4)  4 Cl 2.87-3.09, 4 S 2.93
S 0.0000 0.2961 0.5000 (multiplicity 4)  1 S 2.10
Cl 0.1968 0.0000 0.8758 (multiplicity 4)  4 Ca 2.87-3.09

- Uncorrected formation energy: -1.79 eV/atom
- Calculated volume: 289.9 Å³/cell

[3]
VASP calculation (PBE) on a geometry-optimized Ga2MoAs2 structure.

Unit cell a=3.5133 b=3.5133 c=16.0301 alpha=90.00 beta=90.00 gamma=90.00
Last column: nearest neighbours and their distance in Å.
Space group I4/mmm (No. 139)
Inequivalent atoms, fractional coordinates:
Ga 0.0000 0.0000 0.0805 (multiplicity 4)  1 Ga 2.58, 4 Mo 2.80
Mo 0.0000 0.0000 0.5000 (multiplicity 2)  8 Ga 2.80
As 0.0000 0.5000 0.2500 (multiplicity 4)  4 As 2.48

- ΔH_f (0 K): 0.535 eV/atom
- Distance to the lowest polymorph of the same formula: 161 meV per atom
- Calculated volume: 197.9 Å³/cell
- DOS(E_F): 9.00 states/eV per cell

[4]
VASP calculation (PBE) on a geometry-optimized ReNiTe2 structure.

Unit cell a=3.3708 b=3.3708 c=25.2604 alpha=90.00 beta=90.00 gamma=120.00
Last column: nearest neighbours and their distance in Å.
Space group R-3m (No. 166, hexagonal axes)
Inequivalent atoms, fractional coordinates:
Re 0.0000 0.0000 0.0000 (multiplicity 3)  2 Te 2.55
Ni 0.0000 0.0000 0.5000 (multiplicity 3)  6 Te 2.56
Te 0.0000 0.0000 0.1008 (multiplicity 6)  1 Re 2.55, 3 Ni 2.56

- Uncorrected formation energy: 0.77 eV/atom
- Distance to the lowest polymorph of the same formula: 660 meV per atom
- Calculated volume: 248.6 Å³/cell
- DOS(E_F): 7.85 states/eV per cell

[5]
VASP calculation (PBE) on a geometry-optimized MgBeCuI2 structure.

Unit cell a=5.5848 b=5.5848 c=4.2125 alpha=90.00 beta=90.00 gamma=90.00
Last column: nearest neighbours and their distance in Å.
Space group P4/mmm (No. 123)
Inequivalent atoms, fractional coordinates:
Mg 0.0000 0.0000 0.0000 (multiplicity 1)  8 I 3.50
Be 0.5000 0.5000 0.0000 (multiplicity 1)  2 Cu 2.11
Cu 0.5000 0.5000 0.5000 (multiplicity 1)  2 Be 2.11
I 0.0000 0.5000 0.5000 (multiplicity 2)  2 Cu 2.79

- Uncorrected formation energy: 0.37 eV/atom
- Calculated volume: 131.4 Å³/cell
- DOS(E_F): 1.99 states/eV per cell

[6]
VASP calculation (PBE) on a geometry-optimized Pm2SbH3 structure.

Unit cell a=15.2120 b=4.0146 c=7.3285 alpha=90.00 beta=114.79 gamma=90.00
Last column: nearest neighbours and their distance in Å.
Space group C2/m (No. 12)
Inequivalent atoms, fractional coordinates:
Pm 0.0291 0.0000 0.2680 (multiplicity 4)  5 H 2.23-2.37
Pm 0.2019 0.5000 0.6868 (multiplicity 4)  2 H 2.22-2.37
Sb 0.1315 0.5000 0.0464 (multiplicity 4)  7 Pm 3.18-3.35, 7 H 3.27-3.53
H 0.0633 0.5000 0.4135 (multiplicity 4)  3 Pm 2.22-2.23, 2 H 2.45
H 0.0956 0.0000 0.6242 (multiplicity 4)  1 H 2.17, 2 Pm 2.34-2.37
H 0.1933 0.0000 0.4776 (multiplicity 4)  1 H 2.17, 2 Pm 2.32-2.37

- DFT total energy: -113.41 eV per cell
- Calculated volume: 406.3 Å³/cell